1.
Here is RbCaMg2Ni after structural relaxation from Alexandria via LeMat-Bulk. Energies are from PBE.

Its energy of formation from the pure elements is 0.08 eV per atom.

The structure belongs to space group P4/mmm (No. 123); the cell edges are 5.267, 5.267 and 5.405 Å and the angles 90.00°, 90.00° and 90.00°. The distinct sites, in fractional coordinates, are Rb at (0.000, 0.000, 0.000), Ca at (0.500, 0.500, 0.000), Mg at (0.000, 0.500, 0.500) and Ni at (0.500, 0.500, 0.500).

=====

2.
Here is Ca2MgNi4Sb3 after structural relaxation from Alexandria via LeMat-Bulk. Energies are from PBE.

Its uncorrected formation energy is -0.51 eV/atom.

The structure belongs to space group P-4m2 (No. 115); the cell edges are 4.346, 4.346 and 10.355 Å and the angles 90.00°, 90.00° and 90.00°. The distinct sites, in fractional coordinates, are Ca at (0.000, 0.500, 0.239), Mg at (0.000, 0.000, 0.500), Ni at (0.000, 0.000, 0.000), Ni at (0.000, 0.500, 0.632), Ni at (0.500, 0.500, 0.000), Sb at (0.000, 0.500, 0.871) and Sb at (0.500, 0.500, 0.500).

=====

3.
Here is Ca2MgScNi after structural relaxation from Alexandria via LeMat-Bulk. Energies are from PBE.

Its energy of formation from the pure elements is 0.98 eV per atom.

The structure belongs to space group P4/mmm (No. 123); the cell edges are 5.707, 5.707 and 5.344 Å and the angles 90.00°, 90.00° and 90.00°. The distinct sites, in fractional coordinates, are Ca at (0.000, 0.500, 0.000), Mg at (0.000, 0.000, 0.000), Sc at (0.000, 0.000, 0.500) and Ni at (0.500, 0.500, 0.500).

=====

no.,VASP energy (eV/atom)
1,-2.304
2,-4.618
3,-2.565